A plane-wave DFT calculation with GGA-PBE was carried out for a relaxed structure of GePS2.

abc: 11.758 4.461 9.365
angles: 90.00 90.00 90.00
Space group Pnma (No. 62)
Unique sites:
Ge1 0.020 0.250 0.115 (multiplicity 4)
P1 0.034 0.750 0.510 (multiplicity 4)
S1 0.100 0.750 0.089 (multiplicity 4)
S2 0.117 0.750 0.703 (multiplicity 4)

Properties
Polymorph energy (0 for the lowest one) = 0.0 kJ/mol of atoms
Raw formation energy = -0.009 eV per atom
ρ = 2.268 g/cm3